Record 1
# Cd2PRh (GGA-PBEsol, optimized geometry)
# * formation energy: 0.11 eV per atom
data_Cd2PRh
_chemical_formula_sum 'Cd2 P1 Rh1'
_cell_length_a 4.024
_cell_length_b 4.024
_cell_length_c 4.062
_cell_angle_alpha 90.00
_cell_angle_beta 90.00
_cell_angle_gamma 90.00
_symmetry_space_group_name_H-M 'P 1'
_symmetry_Int_Tables_number 1
_symmetry_space_group_name_Hall 'P 1'
loop_
_atom_site_label
_atom_site_fract_x
_atom_site_fract_y
_atom_site_fract_z
_atom_site_occupancy
Cd1 0.000 0.500 0.000 1
Cd2 0.500 0.000 0.000 1
P1 0.500 0.500 0.500 1
Rh1 0.000 0.000 0.500 1

=====

Record 2
# SiSnGe2 (GGA-PBEsol, optimized geometry)
# * formation energy (no corrections): 0.0410 eV/atom
data_SiSnGe2
_chemical_formula_sum 'Si2 Sn2 Ge4'
_cell_length_a 5.819
_cell_length_b 5.819
_cell_length_c 7.090
_cell_angle_alpha 114.23
_cell_angle_beta 114.23
_cell_angle_gamma 90.00
_symmetry_space_group_name_H-M 'P 1'
_symmetry_Int_Tables_number 1
_symmetry_space_group_name_Hall 'P 1'
loop_
_atom_site_label
_atom_site_fract_x
_atom_site_fract_y
_atom_site_fract_z
_atom_site_occupancy
Ge1 0.409 0.875 0.250 1
Ge2 0.841 0.375 0.250 1
Ge3 0.125 0.159 0.750 1
Ge4 0.625 0.591 0.750 1
Si1 0.750 0.250 0.500 1
Si2 0.500 0.500 0.000 1
Sn1 0.250 0.750 0.500 1
Sn2 0.000 0.000 0.000 1

=====

Record 3
# Rb4Cu8Ge3S12 (GGA-PBEsol, optimized geometry)
# * formation energy (no corrections): -0.5431 eV/atom
data_Rb4Cu8Ge3S12
_chemical_formula_sum 'Rb8 Cu16 Ge6 S24'
_cell_length_a 12.145
_cell_length_b 12.514
_cell_length_c 12.145
_cell_angle_alpha 60.97
_cell_angle_beta 90.00
_cell_angle_gamma 119.03
_symmetry_space_group_name_H-M 'P 1'
_symmetry_Int_Tables_number 1
_symmetry_space_group_name_Hall 'P 1'
loop_
_atom_site_label
_atom_site_fract_x
_atom_site_fract_y
_atom_site_fract_z
_atom_site_occupancy
Rb1 0.318 0.000 0.182 1
Rb2 0.682 0.000 0.818 1
Rb3 0.818 0.000 0.318 1
Rb4 0.182 0.000 0.682 1
Rb5 0.847 0.695 0.653 1
Rb6 0.153 0.305 0.347 1
Rb7 0.347 0.695 0.153 1
Rb8 0.653 0.305 0.847 1
Cu1 0.658 0.676 0.160 1
Cu2 0.664 0.324 0.518 1
Cu3 0.660 0.324 0.158 1
Cu4 0.018 0.676 0.164 1
Cu5 0.158 0.676 0.664 1
Cu6 0.160 0.324 0.018 1
Cu7 0.164 0.324 0.658 1
Cu8 0.518 0.676 0.660 1
Cu9 0.833 0.315 0.338 1
Cu10 0.848 0.685 0.982 1
Cu11 0.838 0.685 0.333 1
Cu12 0.482 0.315 0.348 1
Cu13 0.333 0.315 0.848 1
Cu14 0.338 0.685 0.482 1
Cu15 0.348 0.685 0.833 1
Cu16 0.982 0.315 0.838 1
Ge1 0.500 0.500 0.000 1
Ge2 0.000 0.500 0.500 1
Ge3 0.500 0.000 0.500 1
Ge4 0.000 0.000 0.000 1
Ge5 0.500 0.500 0.500 1
Ge6 0.000 0.500 0.000 1
S1 0.677 0.706 0.965 1
S2 0.829 0.294 0.529 1
S3 0.465 0.294 0.177 1
S4 0.029 0.706 0.329 1
S5 0.315 0.853 0.473 1
S6 0.174 0.147 0.038 1
S7 0.973 0.147 0.815 1
S8 0.538 0.853 0.674 1
S9 0.674 0.147 0.315 1
S10 0.815 0.853 0.174 1
S11 0.473 0.147 0.538 1
S12 0.038 0.853 0.973 1
S13 0.329 0.294 0.677 1
S14 0.177 0.706 0.829 1
S15 0.965 0.294 0.029 1
S16 0.529 0.706 0.465 1
S17 0.684 0.504 0.528 1
S18 0.820 0.504 0.968 1
S19 0.468 0.496 0.320 1
S20 0.028 0.496 0.184 1
S21 0.320 0.504 0.028 1
S22 0.184 0.504 0.468 1
S23 0.968 0.496 0.684 1
S24 0.528 0.496 0.820 1

=====

Record 4
# UCu2Si2 (GGA-PBEsol, optimized geometry)
# * formation energy (no corrections): -0.3032 eV/atom
data_UCu2Si2
_chemical_formula_sum 'U1 Cu2 Si2'
_cell_length_a 3.889
_cell_length_b 3.889
_cell_length_c 5.685
_cell_angle_alpha 110.00
_cell_angle_beta 110.00
_cell_angle_gamma 90.00
_symmetry_space_group_name_H-M 'P 1'
_symmetry_Int_Tables_number 1
_symmetry_space_group_name_Hall 'P 1'
loop_
_atom_site_label
_atom_site_fract_x
_atom_site_fract_y
_atom_site_fract_z
_atom_site_occupancy
Si1 0.383 0.383 0.767 1
Si2 0.617 0.617 0.233 1
U1 0.000 0.000 0.000 1
Cu1 0.750 0.250 0.500 1
Cu2 0.250 0.750 0.500 1

=====

Table of VASP energy (Ha/atom), in record order: -0.1460 -0.1812 -0.1645 -0.2487